A geometry-optimized KTl2CrO4 structure. Source: the Alexandria database, functional PBE with a Hubbard U.

abc: 7.920 8.006 5.690
angles: 90.00 90.00 90.00
Space group Pmn2_1 (No. 31)
Asymmetric unit:
K: 0.000 0.114 0.000 (multiplicity 2)
Tl: 0.244 0.318 0.504 (multiplicity 4)
Cr: 0.000 0.866 0.485 (multiplicity 2)
O: 0.000 0.085 0.512 (multiplicity 2)
O: 0.000 0.811 0.184 (multiplicity 2)
O: 0.183 0.791 0.606 (multiplicity 4)

Values from the calculation:
For the total energy, the calculation gives -5.380 eV/atom.